First-principles (GGA-PBE) data for a relaxed structure of PaTaAlV, as listed in Alexandria.

Computed properties:
- size of the total moment (μB/atom) = 0.0000
- DFT formation energy (meV/atom) = 3

Structure (POSCAR):
```
PaTaAlV
1.0
6.578 0.000 0.000
0.000 6.578 0.000
0.000 0.000 6.578
Pa Ta Al V
4 4 4 4
Cartesian
0.000 0.000 0.000 Pa
0.000 3.289 3.289 Pa
3.289 0.000 3.289 Pa
3.289 3.289 0.000 Pa
1.644 1.644 1.644 Ta
1.644 4.933 4.933 Ta
4.933 1.644 4.933 Ta
4.933 4.933 1.644 Ta
0.000 0.000 3.289 Al
0.000 3.289 0.000 Al
3.289 0.000 0.000 Al
3.289 3.289 3.289 Al
1.644 1.644 4.933 V
1.644 4.933 1.644 V
4.933 1.644 1.644 V
4.933 4.933 4.933 V
```